The following is a SCAN calculation of YAu at its PBEsol-relaxed geometry, from Alexandria.

Structure (extended XYZ):
```
4
Lattice="3.686 0.000 0.000 0.000 4.601 0.000 -1.843 0.000 5.414" Properties=species:S:1:pos:R:3 pbc="T T T"
Y 0.000 1.150 1.507
Y 1.843 3.451 3.907
Au 1.843 3.451 0.936
Au 0.000 1.150 4.477
```

The uncorrected energy is -3.650 Ry per atom. For the density of states at the Fermi level, the calculation gives 2.61 states/eV per cell. For the energy of formation from the pure elements, the calculation gives -1.17 eV/atom. As for the space group: Cmcm, No. 63.

***

The following is a SCAN calculation of YAu5 at its PBEsol-relaxed geometry, from Alexandria.

Structure (extended XYZ):
```
6
Lattice="-4.241 -2.218 -1.181 1.239 0.254 -4.923 1.352 -4.052 2.755" Properties=species:S:1:pos:R:3 pbc="T T T"
Y -2.120 -1.109 -0.591
Au 0.876 -1.283 -0.733
Au 0.820 0.168 -3.259
Au 0.895 -2.682 1.824
Au -0.806 -3.726 -0.395
Au -0.844 -2.290 -2.954
```

The uncorrected energy is -4.615 Ry per atom. For the density of states at the Fermi level, the calculation gives 2.42 states/eV per cell. For the energy of formation from the pure elements, the calculation gives -0.52 eV/atom. As for the space group: P-62m, No. 189.

***

The following is a SCAN calculation of YAu at its PBEsol-relaxed geometry, from Alexandria.

Structure (extended XYZ):
```
2
Lattice="-2.826 2.121 0.309 -0.376 0.014 -3.527 -2.110 -2.843 0.214" Properties=species:S:1:pos:R:3 pbc="T T T"
Y 0.000 0.000 0.000
Au -2.656 -0.354 -1.502
```

The uncorrected energy is -3.648 Ry per atom. For the density of states at the Fermi level, the calculation gives 0.89 states/eV per cell. For the energy of formation from the pure elements, the calculation gives -1.13 eV/atom. As for the space group: Pm-3m, No. 221.

***

The following is a SCAN calculation of Y3Au at its PBEsol-relaxed geometry, from Alexandria.

Structure (extended XYZ):
```
4
Lattice="3.571 0.000 0.000 0.000 3.571 0.000 0.000 0.000 8.371" Properties=species:S:1:pos:R:3 pbc="T T T"
Y 0.000 0.000 4.186
Y 1.786 1.786 1.715
Y 1.786 1.786 6.657
Au 0.000 0.000 0.000
```

The uncorrected energy is -2.843 Ry per atom. For the density of states at the Fermi level, the calculation gives 5.44 states/eV per cell. For the energy of formation from the pure elements, the calculation gives -0.52 eV/atom. As for the space group: P4/mmm, No. 123.

***

The following is a SCAN calculation of Y3Au at its PBEsol-relaxed geometry, from Alexandria.

Structure (extended XYZ):
```
4
Lattice="-2.945 0.215 -2.185 -2.162 -4.008 2.519 0.168 5.421 3.394" Properties=species:S:1:pos:R:3 pbc="T T T"
Y -2.474 0.054 3.339
Y -2.553 -1.896 0.167
Y -2.465 1.574 0.389
Au 0.000 0.000 0.000
```

The uncorrected energy is -2.848 Ry per atom. For the density of states at the Fermi level, the calculation gives 2.86 states/eV per cell. For the energy of formation from the pure elements, the calculation gives -0.57 eV/atom. As for the space group: Immm, No. 71.

***

The following is a SCAN calculation of YAu at its PBEsol-relaxed geometry, from Alexandria.

Structure (extended XYZ):
```
6
Lattice="3.723 0.000 0.000 -1.862 5.310 0.009 0.000 -2.584 7.215" Properties=species:S:1:pos:R:3 pbc="T T T"
Y 1.862 0.629 2.240
Y 1.862 3.540 4.438
Y 1.862 0.882 6.974
Au 0.000 1.101 0.044
Au 0.000 3.035 2.176
Au 0.000 1.191 4.600
```

The uncorrected energy is -3.643 Ry per atom. For the density of states at the Fermi level, the calculation gives 3.85 states/eV per cell. For the energy of formation from the pure elements, the calculation gives -1.06 eV/atom. As for the space group: Cm, No. 8.